A plane-wave DFT calculation with GGA+U was carried out for crystalline Li4MnP6H8O22 at its relaxed geometry.

Results
The space group is P-1 (2). The value obtained for the density is 2.3 g/cm³. The calculation puts the volume at 457.0 Å³ per cell. For the total energy, the calculation gives -6.35 eV per atom.

Cell: 7.084 7.355 9.093 Å, 92.33 105.10 90.22°
Positions (direct):
Li 0.123 0.122 0.464
Li 0.221 0.999 0.773
Li 0.779 0.001 0.227
Li 0.877 0.878 0.536
Mn 0.000 0.500 0.000
P 0.224 0.441 0.718
P 0.312 0.730 0.529
P 0.465 0.299 0.160
P 0.535 0.701 0.840
P 0.688 0.270 0.471
P 0.776 0.559 0.282
H 0.100 0.157 0.175
H 0.108 0.946 0.181
H 0.267 0.724 0.204
H 0.279 0.776 0.035
H 0.721 0.224 0.965
H 0.733 0.276 0.796
H 0.892 0.054 0.819
H 0.900 0.843 0.825
O 0.059 0.055 0.227
O 0.073 0.526 0.787
O 0.176 0.879 0.559
O 0.187 0.746 0.097
O 0.216 0.240 0.682
O 0.223 0.536 0.560
O 0.251 0.309 0.083
O 0.364 0.720 0.382
O 0.408 0.832 0.902
O 0.442 0.497 0.824
O 0.485 0.254 0.337
O 0.515 0.746 0.663
O 0.558 0.503 0.176
O 0.592 0.168 0.098
O 0.636 0.280 0.618
O 0.749 0.691 0.917
O 0.777 0.464 0.440
O 0.784 0.760 0.318
O 0.813 0.254 0.903
O 0.824 0.121 0.441
O 0.927 0.474 0.213
O 0.941 0.945 0.773